Entry 1:
{
  "formula": "Sr2VBiN",
  "functional": "GGA-PBE",
  "state": "relaxed",
  "rho_kg_m3": 5101,
  "e_form_raw_kcal_per_mol_atoms": -2.1,
  "vol_a3_per_atom": 29.2,
  "m_tot_mub_per_atom": 0.5351,
  "lattice_angstrom": [[-3.7977, 1.3347, 4.7680], [1.9882, -2.2823, 2.2225], [3.6878, 4.7721, 1.6015]],
  "species": ["Sr", "Sr", "V", "N", "Bi"],
  "fractional_positions": [[0.5000, 0.0000, 0.0000], [0.0000, 0.0000, 0.5000], [0.0000, 0.0000, 0.0000], [0.0000, 0.5000, 0.0000], [0.5000, 0.5000, 0.5000]]
}

---

Entry 2:
{
  "formula": "SrYBi2N",
  "functional": "GGA-PBE",
  "state": "relaxed",
  "rho_kg_m3": 7364,
  "e_form_raw_kcal_per_mol_atoms": -8.8,
  "vol_a3_per_atom": 27.4,
  "m_tot_mub_per_atom": 0.0000,
  "lattice_angstrom": [[-1.3490, 1.9658, 4.9672], [2.6613, -3.0913, 1.9462], [4.2441, 3.5058, -0.2348]],
  "species": ["N", "Bi", "Bi", "Y", "Sr"],
  "fractional_positions": [[0.0000, 0.0000, 0.0000], [0.5000, 0.0000, 0.0000], [0.0000, 0.0000, 0.5000], [0.0000, 0.5000, 0.0000], [0.5000, 0.5000, 0.5000]]
}

---

Entry 3:
{
  "formula": "Sr2ZnBiN",
  "functional": "GGA-PBE",
  "state": "relaxed",
  "rho_kg_m3": 6188,
  "e_form_raw_kcal_per_mol_atoms": -13.1,
  "vol_a3_per_atom": 24.9,
  "m_tot_mub_per_atom": 0.0000,
  "lattice_angstrom": [[-1.2804, -2.0184, 5.0154], [-1.4310, -4.8438, -2.3147], [3.7822, -1.3241, 0.4327]],
  "species": ["Bi", "Sr", "Sr", "Zn", "N"],
  "fractional_positions": [[0.5000, 0.5000, 0.5000], [0.0000, 0.5000, 0.0000], [0.5000, 0.0000, 0.0000], [0.0000, 0.0000, 0.5000], [0.0000, 0.0000, 0.0000]]
}

---

Entry 4:
{
  "formula": "TaBi3N",
  "functional": "GGA-PBE",
  "state": "relaxed",
  "rho_kg_m3": 8561,
  "e_form_raw_kcal_per_mol_atoms": 37.5,
  "vol_a3_per_atom": 31.9,
  "m_tot_mub_per_atom": 0.0000,
  "lattice_angstrom": [[5.4222, 0.0000, 0.0000], [0.0000, 5.4222, 0.0000], [0.0000, 0.0000, 5.4222]],
  "species": ["Bi", "Bi", "Bi", "Ta", "N"],
  "fractional_positions": [[0.0000, 0.5000, 0.0000], [0.5000, 0.0000, 0.0000], [0.0000, 0.0000, 0.5000], [0.0000, 0.0000, 0.0000], [0.5000, 0.5000, 0.5000]]
}

---

Entry 5:
{
  "formula": "TaBi3N",
  "functional": "GGA-PBE",
  "state": "relaxed",
  "rho_kg_m3": 11990,
  "e_form_raw_kcal_per_mol_atoms": 21.9,
  "vol_a3_per_atom": 22.8,
  "m_tot_mub_per_atom": 0.1175,
  "lattice_angstrom": [[-1.8750, -3.5916, 2.6593], [4.2948, -2.2453, -0.0042], [1.2352, 2.3550, 4.0516]],
  "species": ["Bi", "Bi", "Bi", "N", "Ta"],
  "fractional_positions": [[0.0000, 0.0000, 0.5000], [0.0000, 0.5000, 0.0000], [0.5000, 0.0000, 0.0000], [0.0000, 0.0000, 0.0000], [0.5000, 0.5000, 0.5000]]
}

---

Entry 6:
{
  "formula": "TaBiN2",
  "functional": "GGA-PBE",
  "state": "relaxed",
  "rho_kg_m3": 10952,
  "e_form_raw_kcal_per_mol_atoms": -10.1,
  "vol_a3_per_atom": 15.8,
  "m_tot_mub_per_atom": 0.0000,
  "lattice_angstrom": [[-5.5855, -1.4915, 4.4359], [-6.0294, -3.5649, 2.0090], [-3.9604, -4.2738, 4.3760]],
  "species": ["Ta", "N", "N", "Bi"],
  "fractional_positions": [[0.5000, 0.5000, 0.5000], [0.1172, 0.1172, 0.1172], [0.8828, 0.8828, 0.8828], [0.0000, 0.0000, 0.0000]]
}

---

Entry 7:
{
  "formula": "TaBiN2",
  "functional": "GGA-PBE",
  "state": "relaxed",
  "rho_kg_m3": 9544,
  "e_form_raw_kcal_per_mol_atoms": -5.3,
  "vol_a3_per_atom": 18.2,
  "m_tot_mub_per_atom": 0.0000,
  "lattice_angstrom": [[-1.3319, 4.5382, -2.8575], [-3.0756, -3.0584, -3.4237], [-5.9905, 1.3995, -0.3280]],
  "species": ["Ta", "Ta", "N", "N", "N", "N", "Bi", "Bi"],
  "fractional_positions": [[0.2500, 0.7500, 0.5000], [0.5000, 0.5000, 0.0000], [0.2474, 0.6250, 0.2500], [0.8750, 0.7526, 0.7500], [0.5026, 0.1250, 0.2500], [0.3750, 0.4974, 0.7500], [0.0000, 0.0000, 0.0000], [0.7500, 0.2500, 0.5000]]
}

---

Entry 8:
{
  "formula": "TaTcBiN2",
  "functional": "GGA-PBE",
  "state": "relaxed",
  "rho_kg_m3": 9538,
  "e_form_raw_kcal_per_mol_atoms": 30.0,
  "vol_a3_per_atom": 18.0,
  "m_tot_mub_per_atom": 0.3116,
  "lattice_angstrom": [[-2.9068, -1.2302, 2.3668], [3.3599, -4.2928, 1.8952], [1.3564, 2.3324, 2.8783]],
  "species": ["N", "N", "Bi", "Ta", "Tc"],
  "fractional_positions": [[0.5000, 0.0000, 0.0000], [0.0000, 0.0000, 0.5000], [0.0000, 0.5000, 0.0000], [0.5000, 0.5000, 0.5000], [0.0000, 0.0000, 0.0000]]
}

---

Please write out number 5 again, unchanged.
{
  "formula": "TaBi3N",
  "functional": "GGA-PBE",
  "state": "relaxed",
  "rho_kg_m3": 11990,
  "e_form_raw_kcal_per_mol_atoms": 21.9,
  "vol_a3_per_atom": 22.8,
  "m_tot_mub_per_atom": 0.1175,
  "lattice_angstrom": [[-1.8750, -3.5916, 2.6593], [4.2948, -2.2453, -0.0042], [1.2352, 2.3550, 4.0516]],
  "species": ["Bi", "Bi", "Bi", "N", "Ta"],
  "fractional_positions": [[0.0000, 0.0000, 0.5000], [0.0000, 0.5000, 0.0000], [0.5000, 0.0000, 0.0000], [0.0000, 0.0000, 0.0000], [0.5000, 0.5000, 0.5000]]
}